Record 1
DFT (meta-GGA SCAN) results for a PBEsol-optimized structure of InFeMoSe2.

Calculated values
Total DFT energy (no corrections), Ha/atom: -0.881
Density of states at the Fermi level, states/eV/cell: 3.770
Energy relative to the elements, uncorrected, eV/atom: 1.350

Lattice parameters (Å, degrees): 4.765 5.133 5.133 90.00 90.00 90.00
Positions (direct):
1 Fe 0.500 0.000 0.000
2 Se 0.000 0.500 0.000
3 Se 0.000 0.000 0.500
4 Mo 0.500 0.500 0.500
5 In 0.000 0.000 0.000



Record 2
DFT (meta-GGA SCAN) results for a PBEsol-optimized structure of BeCo2Br.

Calculated values
Total DFT energy (no corrections), Ha/atom: -0.508
Distance to the lowest polymorph of the same formula, eV/atom: 0.4065
Density of states at the Fermi level, states/eV/cell: 2.959
Energy relative to the elements, uncorrected, eV/atom: 0.788

Lattice parameters (Å, degrees): 3.028 4.283 4.507 118.36 109.63 90.00
Positions (direct):
1 Co 0.284 0.284 0.569
2 Co 0.716 0.716 0.431
3 Br 0.500 0.000 0.000
4 Be 0.000 0.500 0.000



Record 3
DFT (meta-GGA SCAN) results for a PBEsol-optimized structure of PbCI2.

Calculated values
Total DFT energy (no corrections), Ha/atom: -1.411
Density of states at the Fermi level, states/eV/cell: 3.896
Energy relative to the elements, uncorrected, eV/atom: 1.443

Lattice parameters (Å, degrees): 5.385 5.385 5.385 60.00 60.00 60.00
Positions (direct):
1 Pb 0.500 0.500 0.500
2 I 0.250 0.250 0.250
3 I 0.750 0.750 0.750
4 C 0.000 0.000 0.000



Record 4
DFT (meta-GGA SCAN) results for a PBEsol-optimized structure of H2S.

Calculated values
Total DFT energy (no corrections), Ha/atom: -0.208
Distance to the lowest polymorph of the same formula, eV/atom: 0.0315
Density of states at the Fermi level, states/eV/cell: 0.000

Lattice parameters (Å, degrees): 7.866 7.866 7.866 91.53 119.12 119.12
Positions (direct):
1 H 0.270 0.029 0.810
2 H 0.220 0.529 0.260
3 H 0.730 0.540 0.760
4 H 0.220 0.190 0.460
5 H 0.230 0.010 0.290
6 H 0.720 0.710 0.940
7 H 0.280 0.560 0.790
8 H 0.770 0.210 0.490
9 H 0.270 0.740 0.960
10 H 0.280 0.221 0.990
11 H 0.720 0.510 0.279
12 H 0.770 0.060 0.779
13 H 0.780 0.040 0.310
14 H 0.780 0.240 0.971
15 H 0.230 0.721 0.440
16 H 0.730 0.690 0.471
17 S 0.341 0.216 0.375
18 S 0.659 0.034 0.875
19 S 0.841 0.625 0.966
20 S 0.159 0.534 0.875
21 S 0.159 0.125 0.784
22 S 0.659 0.125 0.284
23 S 0.841 0.716 0.375
24 S 0.341 0.625 0.466



Record 5
DFT (meta-GGA SCAN) results for a PBEsol-optimized structure of Ba5Au.

Calculated values
Total DFT energy (no corrections), Ha/atom: -1.645
Distance to the lowest polymorph of the same formula, eV/atom: 0.0000
Density of states at the Fermi level, states/eV/cell: 6.038
Formation energy from the elements, eV/atom: -0.268

Lattice parameters (Å, degrees): 4.104 4.104 17.116 90.00 90.00 90.00
Positions (direct):
1 Ba 0.000 0.000 0.107
2 Ba 0.000 0.000 0.500
3 Ba 0.000 0.000 0.893
4 Ba 0.500 0.500 0.693
5 Ba 0.500 0.500 0.307
6 Au 0.500 0.500 0.000



Record 6
DFT (meta-GGA SCAN) results for a PBEsol-optimized structure of BaTa2Ni.

Calculated values
Total DFT energy (no corrections), Ha/atom: -1.708
Distance to the lowest polymorph of the same formula, eV/atom: 0.2817
Density of states at the Fermi level, states/eV/cell: 5.419
Formation energy from the elements, eV/atom: 0.737

Lattice parameters (Å, degrees): 2.963 2.963 9.168 90.00 90.00 92.19
Positions (direct):
1 Ta 0.000 0.000 0.174
2 Ta 0.000 0.000 0.826
3 Ba 0.500 0.500 0.500
4 Ni 0.500 0.500 0.000



Record 7
DFT (meta-GGA SCAN) results for a PBEsol-optimized structure of RhF6.

Calculated values
Total DFT energy (no corrections), Ha/atom: -0.338
Energy relative to the elements, uncorrected, eV/atom: -1.345

Lattice parameters (Å, degrees): 4.970 8.591 9.394 90.00 90.00 90.00
Positions (direct):
1 F 0.435 0.901 0.760
2 F 0.065 0.901 0.260
3 F 0.112 0.250 0.244
4 F 0.792 0.250 0.512
5 F 0.388 0.250 0.744
6 F 0.612 0.750 0.256
7 F 0.292 0.750 0.988
8 F 0.888 0.750 0.756
9 F 0.745 0.599 0.983
10 F 0.755 0.599 0.483
11 F 0.755 0.901 0.483
12 F 0.065 0.599 0.260
13 F 0.708 0.250 0.012
14 F 0.245 0.099 0.517
15 F 0.245 0.401 0.517
16 F 0.565 0.401 0.240
17 F 0.935 0.401 0.740
18 F 0.435 0.599 0.760
19 F 0.935 0.099 0.740
20 F 0.565 0.099 0.240
21 F 0.255 0.401 0.017
22 F 0.255 0.099 0.017
23 F 0.745 0.901 0.983
24 F 0.208 0.750 0.488
25 Rh 0.911 0.750 0.372
26 Rh 0.589 0.750 0.872
27 Rh 0.411 0.250 0.128
28 Rh 0.089 0.250 0.628



Record 8
DFT (meta-GGA SCAN) results for a PBEsol-optimized structure of Ti2AgPt2.

Calculated values
Total DFT energy (no corrections), Ha/atom: -1.530
Distance to the lowest polymorph of the same formula, eV/atom: 0.0000
Density of states at the Fermi level, states/eV/cell: 6.138
Formation energy from the elements, eV/atom: -0.864

Lattice parameters (Å, degrees): 2.831 7.525 7.525 90.00 90.00 90.00
Positions (direct):
1 Ag 0.000 0.000 0.000
2 Ag 0.000 0.500 0.500
3 Pt 0.000 0.633 0.133
4 Pt 0.000 0.367 0.867
5 Pt 0.000 0.867 0.633
6 Pt 0.000 0.133 0.367
7 Ti 0.500 0.836 0.336
8 Ti 0.500 0.664 0.836
9 Ti 0.500 0.164 0.664
10 Ti 0.500 0.336 0.164



Record 9
DFT (meta-GGA SCAN) results for a PBEsol-optimized structure of BaZrFe.

Calculated values
Total DFT energy (no corrections), Ha/atom: -1.045
Density of states at the Fermi level, states/eV/cell: 2.600
Formation energy from the elements, eV/atom: 1.020

Lattice parameters (Å, degrees): 4.665 4.665 4.665 60.00 60.00 60.00
Positions (direct):
1 Zr 0.000 0.000 0.000
2 Ba 0.500 0.500 0.500
3 Fe 0.250 0.250 0.250



Record 10
DFT (meta-GGA SCAN) results for a PBEsol-optimized structure of Zr2BeIr.

Calculated values
Total DFT energy (no corrections), Ha/atom: -1.276
Density of states at the Fermi level, states/eV/cell: 2.353
Formation energy from the elements, eV/atom: -0.500

Lattice parameters (Å, degrees): 3.098 3.098 6.837 90.00 90.00 90.00
Positions (direct):
1 Zr 0.500 0.500 0.282
2 Zr 0.000 0.000 0.964
3 Ir 0.500 0.500 0.700
4 Be 0.000 0.000 0.553



Record 11
DFT (meta-GGA SCAN) results for a PBEsol-optimized structure of Sr2YTl.

Calculated values
Total DFT energy (no corrections), Ha/atom: -1.335
Distance to the lowest polymorph of the same formula, eV/atom: 0.1190
Density of states at the Fermi level, states/eV/cell: 3.462
Formation energy from the elements, eV/atom: -0.129

Lattice parameters (Å, degrees): 3.903 3.903 11.694 80.39 80.39 60.00
Positions (direct):
1 Sr 0.235 0.235 0.295
2 Sr 0.005 0.005 0.984
3 Y 0.764 0.764 0.708
4 Tl 0.495 0.495 0.514



Record 12
DFT (meta-GGA SCAN) results for a PBEsol-optimized structure of Zn2InSb.

Calculated values
Total DFT energy (no corrections), Ha/atom: -0.890
Distance to the lowest polymorph of the same formula, eV/atom: 0.0945
Density of states at the Fermi level, states/eV/cell: 1.528
Energy relative to the elements, uncorrected, eV/atom: 0.206

Lattice parameters (Å, degrees): 4.177 5.103 5.122 119.88 114.06 90.00
Positions (direct):
1 Zn 0.751 0.751 0.502
2 Zn 0.249 0.249 0.498
3 Sb 0.000 0.500 0.000
4 In 0.500 0.000 0.000